No. 1
The following is a PBE-GGA calculation of MnSeS2 after structural relaxation, from the Alexandria database.

```
MnSeS2
1.0
5.985 0.000 0.000
0.000 5.985 0.000
2.992 2.992 4.438
Mn S Se
2 4 2
Direct
0.250 0.750 0.500
0.500 0.500 0.000
0.375 0.457 0.750
0.875 0.793 0.750
0.543 0.125 0.250
0.207 0.625 0.250
0.750 0.250 0.500
0.000 0.000 0.000
```

V   19.87 Å³ per atom
VASP energy   -5.09 eV per atom


No. 2
The following is a PBE-GGA calculation of MnSeS3 after structural relaxation, from the Alexandria database.

```
MnSeS3
1.0
-3.965 0.922 1.703
-1.553 -3.832 -1.540
1.157 -1.983 3.768
S Mn Se
3 1 1
Direct
0.000 0.000 0.500
0.000 0.500 0.000
0.500 0.000 0.000
0.000 0.000 0.000
0.500 0.500 0.500
```

Offset from the most stable computed form   0 meV per atom
V   17.18 Å³ per atom
VASP energy   -4.57 eV per atom


No. 3
The following is a PBE-GGA calculation of Mn2SeS2 after structural relaxation, from the Alexandria database.

```
Mn2SeS2
1.0
3.418 0.000 -0.984
-0.462 4.607 -1.604
-0.018 -0.393 6.363
S Mn Se
2 2 1
Direct
0.311 0.311 0.621
0.689 0.689 0.379
0.666 0.166 0.332
0.334 0.834 0.668
0.000 0.000 0.000
```

V   19.56 Å³ per atom
VASP energy   -6.48 eV per atom


No. 4
The following is a PBE-GGA calculation of Sm2Mn2Se2S3 after structural relaxation, from the Alexandria database.

```
Sm2Mn2Se2S3
1.0
-3.964 -1.400 2.017
0.683 -4.308 -1.648
6.357 0.643 7.550
Se Sm S Mn
2 2 3 2
Direct
0.407 0.407 0.813
0.593 0.593 0.187
0.828 0.828 0.655
0.172 0.172 0.345
0.750 0.250 0.500
0.000 0.000 0.000
0.250 0.750 0.500
0.500 0.000 0.000
0.000 0.500 0.000
```

V   22.53 Å³ per atom
VASP energy   -6.34 eV per atom


No. 5
The following is a PBE-GGA calculation of Mn2SnSeS after structural relaxation, from the Alexandria database.

```
Mn2SnSeS
1.0
4.588 0.000 0.000
0.000 5.774 0.000
0.000 0.000 4.588
Se Sn S Mn
1 1 1 2
Direct
0.500 0.500 0.500
0.000 0.500 0.000
0.000 0.000 0.000
0.500 0.000 0.000
0.000 0.000 0.500
```

V   24.31 Å³ per atom
VASP energy   -5.78 eV per atom


No. 6
The following is a PBE-GGA calculation of Ta2MnSe2S4 after structural relaxation, from the Alexandria database.

```
Ta2MnSe2S4
1.0
-2.290 1.605 -1.796
1.032 -3.017 -0.936
-14.890 -8.599 11.300
Se S Ta Mn
2 4 2 1
Direct
0.667 0.333 0.255
0.667 0.333 0.401
0.000 0.000 0.726
0.667 0.333 0.057
0.000 0.000 0.574
0.667 0.333 0.905
0.667 0.333 0.650
0.000 0.000 0.981
0.000 0.000 0.328
```

V   21.87 Å³ per atom
VASP energy   -7.07 eV per atom


No. 7
The following is a PBE-GGA calculation of Mn2Tl2Se2S after structural relaxation, from the Alexandria database.

```
Mn2Tl2Se2S
1.0
4.626 0.000 0.000
0.000 4.626 0.000
-2.313 -2.313 8.419
Tl Mn Se S
2 2 2 1
Direct
0.816 0.816 0.633
0.184 0.184 0.367
0.000 0.500 0.000
0.500 0.000 0.000
0.393 0.393 0.787
0.607 0.607 0.213
0.000 0.000 0.000
```

V   25.74 Å³ per atom
VASP energy   -5.17 eV per atom


No. 8
The following is a PBE-GGA calculation of MnTlSeS after structural relaxation, from the Alexandria database.

```
MnTlSeS
1.0
3.662 0.001 -0.001
-1.830 3.171 -0.001
-1.833 -1.059 7.747
Se S Mn Tl
1 1 1 1
Direct
0.088 0.942 0.044
0.520 0.157 0.693
0.295 0.545 0.855
0.975 0.387 0.377
```

V   22.49 Å³ per atom
VASP energy   -5.23 eV per atom


Ρ across the listed records, respectively: 4.14; 4.45; 4.30; 5.44; 4.64; 5.93; 6.53; 6.84 g/cm3.
Energy relative to the elements, uncorrected across the listed records, respectively: 0.1334; 0.4357; -0.4603; -1.1055; 0.2085; -0.8134; -0.2907; -0.4407 eV/atom.